1.
Computed, not measured: an optimized crystal structure of LiCd5Hg7 at the GGA-PBE level of DFT.

a = 7.807 Å, b = 7.807 Å, c = 22.377 Å
α = 97.07°, β = 97.07°, γ = 27.55°
Positions (direct):
Li 0.000 0.000 0.000
Li 0.534 0.534 0.452
Cd 0.062 0.062 0.336
Cd 0.273 0.273 0.222
Cd 0.300 0.300 0.679
Cd 0.487 0.487 0.110
Cd 0.544 0.544 0.785
Cd 0.734 0.734 0.558
Cd 0.737 0.737 0.340
Cd 0.792 0.792 0.900
Cd 0.805 0.805 0.108
Cd 0.976 0.976 0.673
Hg 0.067 0.067 0.554
Hg 0.143 0.143 0.099
Hg 0.192 0.192 0.447
Hg 0.201 0.201 0.804
Hg 0.345 0.345 0.004
Hg 0.399 0.399 0.567
Hg 0.404 0.404 0.341
Hg 0.473 0.473 0.900
Hg 0.611 0.611 0.226
Hg 0.641 0.641 0.673
Hg 0.651 0.651 0.981
Hg 0.875 0.875 0.785
Hg 0.880 0.880 0.453
Hg 0.939 0.939 0.218

- DFT formation energy (eV per atom) = -0.043
- volume (A^3/atom) = 24.067
- M_tot (μB/atom) = 0.000

***

2.
Computed, not measured: an optimized crystal structure of LiCd3Hg8 at the GGA-PBE level of DFT.

a = 6.142 Å, b = 6.142 Å, c = 9.144 Å
α = 90.00°, β = 90.00°, γ = 120.00°
Positions (direct):
Li 0.000 0.000 0.000
Cd 0.000 0.000 0.500
Cd 0.333 0.667 0.500
Cd 0.667 0.333 0.500
Hg 0.000 0.320 0.752
Hg 0.000 0.680 0.248
Hg 0.320 0.000 0.752
Hg 0.320 0.320 0.248
Hg 0.333 0.667 0.000
Hg 0.667 0.333 0.000
Hg 0.680 0.000 0.248
Hg 0.680 0.680 0.752

- DFT formation energy (eV per atom) = -0.027
- volume (A^3/atom) = 24.893
- M_tot (μB/atom) = 0.000

***

3.
Computed, not measured: an optimized crystal structure of LiCdHg at the GGA-PBE level of DFT.

a = 5.287 Å, b = 5.287 Å, c = 5.287 Å
α = 140.93°, β = 139.39°, γ = 57.62°
Positions (direct):
Li 0.000 0.000 0.000
Cd 0.665 0.665 0.000
Hg 0.347 0.347 0.000

- DFT formation energy (eV per atom) = -0.249
- volume (A^3/atom) = 20.038
- M_tot (μB/atom) = 0.000
- energy relative to the lowest polymorph listed for this composition (meV/atom) = 0

***

4.
Computed, not measured: an optimized crystal structure of LiCdHg2 at the GGA-PBE level of DFT.

a = 9.608 Å, b = 9.608 Å, c = 9.608 Å
α = 19.80°, β = 19.80°, γ = 19.80°
Positions (direct):
Li 0.000 0.000 0.000
Cd 0.833 0.833 0.833
Hg 0.408 0.408 0.408
Hg 0.592 0.592 0.592

- DFT formation energy (eV per atom) = -0.155
- volume (A^3/atom) = 22.251
- M_tot (μB/atom) = 0.000

***

5.
Computed, not measured: an optimized crystal structure of LiCd2Hg at the GGA-PBE level of DFT.

a = 10.277 Å, b = 10.277 Å, c = 10.277 Å
α = 17.73°, β = 17.73°, γ = 17.73°
Positions (direct):
Li 0.000 0.000 0.000
Cd 0.259 0.259 0.259
Cd 0.741 0.741 0.741
Hg 0.500 0.500 0.500

- DFT formation energy (eV per atom) = -0.079
- volume (A^3/atom) = 21.976
- M_tot (μB/atom) = 0.000

***

6.
Computed, not measured: an optimized crystal structure of LiCd3Hg5 at the GGA-PBE level of DFT.

a = 8.697 Å, b = 8.697 Å, c = 8.697 Å
α = 121.21°, β = 121.21°, γ = 87.92°
Positions (direct):
Li 0.250 0.750 0.500
Li 0.750 0.250 0.500
Cd 0.117 0.617 0.734
Cd 0.250 0.250 0.000
Cd 0.383 0.117 0.500
Cd 0.617 0.883 0.500
Cd 0.750 0.750 0.000
Cd 0.883 0.383 0.266
Hg 0.000 0.000 0.000
Hg 0.050 0.165 0.500
Hg 0.165 0.665 0.115
Hg 0.335 0.450 0.500
Hg 0.450 0.950 0.115
Hg 0.500 0.500 0.000
Hg 0.550 0.050 0.885
Hg 0.665 0.550 0.500
Hg 0.835 0.335 0.885
Hg 0.950 0.835 0.500

- DFT formation energy (eV per atom) = -0.016
- volume (A^3/atom) = 25.350
- M_tot (μB/atom) = 0.000

***

7.
Computed, not measured: an optimized crystal structure of Li3CdHg7 at the GGA-PBE level of DFT.

a = 15.996 Å, b = 15.996 Å, c = 11.061 Å
α = 90.00°, β = 90.00°, γ = 168.52°
Positions (direct):
Li 0.062 0.938 0.565
Li 0.062 0.938 0.935
Li 0.177 0.823 0.250
Li 0.823 0.177 0.750
Li 0.938 0.062 0.065
Li 0.938 0.062 0.435
Cd 0.089 0.911 0.250
Cd 0.911 0.089 0.750
Hg 0.275 0.725 0.594
Hg 0.275 0.725 0.906
Hg 0.370 0.630 0.531
Hg 0.370 0.630 0.969
Hg 0.399 0.601 0.250
Hg 0.484 0.516 0.621
Hg 0.484 0.516 0.879
Hg 0.516 0.484 0.121
Hg 0.516 0.484 0.379
Hg 0.601 0.399 0.750
Hg 0.630 0.370 0.031
Hg 0.630 0.370 0.469
Hg 0.725 0.275 0.094
Hg 0.725 0.275 0.406

- DFT formation energy (eV per atom) = -0.135
- volume (A^3/atom) = 25.606
- M_tot (μB/atom) = 0.000

***

8.
Computed, not measured: an optimized crystal structure of LiCd7Hg4 at the GGA-PBE level of DFT.

a = 5.816 Å, b = 7.291 Å, c = 7.757 Å
α = 74.06°, β = 70.06°, γ = 71.54°
Positions (direct):
Li 0.000 0.000 0.000
Cd 0.000 0.500 0.000
Cd 0.137 0.098 0.296
Cd 0.223 0.600 0.479
Cd 0.495 0.218 0.903
Cd 0.505 0.782 0.097
Cd 0.777 0.400 0.521
Cd 0.863 0.902 0.704
Hg 0.258 0.160 0.639
Hg 0.423 0.687 0.779
Hg 0.577 0.313 0.221
Hg 0.742 0.840 0.361

- DFT formation energy (eV per atom) = -0.022
- volume (A^3/atom) = 24.011
- M_tot (μB/atom) = 0.000
- energy relative to the lowest polymorph listed for this composition (meV/atom) = 0

***

Short version: Fermi-level density of states = 2.57; 3.90; 0.45; 0.95; 1.01; 2.78; 3.80; 3.03 states/eV/f.u., in the order given.